Record 1
First-principles (PBE) data for a geometry-optimized Nd4HoAl structure, as listed in Alexandria.

Total magnetic moment, μB per atom: 0.00
E above lowest polymorph, meV per atom: 69.4
Energy relative to the elements, eV/atom: -0.024
V, Å³/f.u.: 192
Crystal system: monoclinic

CIF file:
```
data_Nd4HoAl
_space_group_name_H-M_alt 'C 1 2/c 1'
_space_group_IT_number 15
_cell_length_a 8.9766
_cell_length_b 14.1486
_cell_length_c 6.3900
_cell_angle_alpha 90.00
_cell_angle_beta 109.28
_cell_angle_gamma 90.00
loop_
_space_group_symop_operation_xyz
'x,y,z'
'-x,-y,-z'
'-x,y,-z+1/2'
'x,-y,z+1/2'
'x+1/2,y+1/2,z'
'-x+1/2,-y+1/2,-z'
'-x+1/2,y+1/2,-z+1/2'
'x+1/2,-y+1/2,z+1/2'
loop_
_atom_site_label
_atom_site_fract_x
_atom_site_fract_y
_atom_site_fract_z
_atom_site_occupancy
Nd1 0.1003 0.1837 0.0480 1
Nd2 0.2185 0.3879 0.3743 1
Ho1 0.0000 0.4086 0.7500 1
Al1 0.0000 0.0001 0.2500 1
```



Record 2
First-principles (PBE) data for a geometry-optimized CrCoSe2 structure, as listed in Alexandria.

Uncorrected formation energy, meV per atom: -223
Total magnetic moment, μB per atom: 0.42
E above lowest polymorph, meV per atom: 161.8
V, Å³/f.u.: 76
Crystal system: tetragonal

CIF file:
```
data_CrCoSe2
_space_group_name_H-M_alt 'P 4 m m'
_space_group_IT_number 99
_cell_length_a 3.3727
_cell_length_b 3.3727
_cell_length_c 6.6583
_cell_angle_alpha 90.00
_cell_angle_beta 90.00
_cell_angle_gamma 90.00
loop_
_space_group_symop_operation_xyz
'x,y,z'
'-y,x,z'
'-x,-y,z'
'y,-x,z'
'-x,y,z'
'y,x,z'
'x,-y,z'
'-y,-x,z'
loop_
_atom_site_label
_atom_site_fract_x
_atom_site_fract_y
_atom_site_fract_z
_atom_site_occupancy
Cr1 0.0000 0.0000 0.0000 1
Co1 0.5000 0.5000 0.7749 1
Se1 0.0000 0.0000 0.6434 1
Se2 0.5000 0.5000 0.1303 1
```



Record 3
First-principles (PBE) data for a geometry-optimized Ni3Ir3Rh structure, as listed in Alexandria.

Total magnetic moment, μB per atom: 0.10
Energy relative to the elements, eV/atom: 0.064
V, Å³/f.u.: 92
Crystal system: hexagonal

CIF file:
```
data_Ni3Ir3Rh
_space_group_name_H-M_alt 'P 63/m'
_space_group_IT_number 176
_space_group_name_Hall '-P 6c'
_cell_length_a 7.0011
_cell_length_b 7.0011
_cell_length_c 4.3187
_cell_angle_alpha 90.00
_cell_angle_beta 90.00
_cell_angle_gamma 120.00
loop_
_atom_site_label
_atom_site_fract_x
_atom_site_fract_y
_atom_site_fract_z
_atom_site_occupancy
Ni1 0.0401 0.2285 0.2500 1
Ir1 0.0923 0.4662 0.7500 1
Rh1 0.3333 0.6667 0.2500 1
```



Record 4
First-principles (PBE) data for a geometry-optimized Y2MnS4 structure, as listed in Alexandria.

Uncorrected formation energy, meV per atom: -1614
Total magnetic moment, μB per atom: 0.71
E above lowest polymorph, meV per atom: 26.6
V, Å³/f.u.: 151
Crystal system: orthorhombic

CIF file:
```
data_Y2MnS4
_space_group_name_H-M_alt 'C m c 21'
_space_group_IT_number 36
_cell_length_a 3.7967
_cell_length_b 12.4074
_cell_length_c 12.8542
_cell_angle_alpha 90.00
_cell_angle_beta 90.00
_cell_angle_gamma 90.00
loop_
_space_group_symop_operation_xyz
'x,y,z'
'-x,-y,z+1/2'
'-x,y,z'
'x,-y,z+1/2'
'x+1/2,y+1/2,z'
'-x+1/2,-y+1/2,z+1/2'
'-x+1/2,y+1/2,z'
'x+1/2,-y+1/2,z+1/2'
loop_
_atom_site_label
_atom_site_fract_x
_atom_site_fract_y
_atom_site_fract_z
_atom_site_occupancy
Y1 0.0000 0.1184 0.0000 1
Y2 0.0000 0.3613 0.2036 1
Mn1 0.0000 0.3741 0.8396 1
S1 0.0000 0.0123 0.7915 1
S2 0.0000 0.2588 0.3904 1
S3 0.0000 0.2918 0.6509 1
S4 0.0000 0.4615 0.0163 1
```



Record 5
First-principles (PBE) data for a geometry-optimized PtO2F6 structure, as listed in Alexandria.

Uncorrected formation energy, meV per atom: -888
Total magnetic moment, μB per atom: 0.34
V, Å³/f.u.: 148
Crystal system: cubic

CIF file:
```
data_PtO2F6
_space_group_name_H-M_alt 'I a -3'
_space_group_IT_number 206
_space_group_name_Hall '-I 2b 2c 3'
_cell_length_a 10.5706
_cell_length_b 10.5706
_cell_length_c 10.5706
_cell_angle_alpha 90.00
_cell_angle_beta 90.00
_cell_angle_gamma 90.00
loop_
_atom_site_label
_atom_site_fract_x
_atom_site_fract_y
_atom_site_fract_z
_atom_site_occupancy
Pt1 0.2500 0.2500 0.2500 1
O1 0.0325 0.0325 0.0325 1
F1 0.1062 0.1557 0.3055 1
```



Record 6
First-principles (PBE) data for a geometry-optimized Be6CoCu structure, as listed in Alexandria.

Total magnetic moment, μB per atom: 0.00
E above lowest polymorph, meV per atom: 148.0
Energy relative to the elements, eV/atom: -0.010
V, Å³/f.u.: 70
Crystal system: cubic

CIF file:
```
data_Be6CoCu
_space_group_name_H-M_alt 'P m -3'
_space_group_IT_number 200
_space_group_name_Hall '-P 2 2 3'
_cell_length_a 4.1309
_cell_length_b 4.1309
_cell_length_c 4.1309
_cell_angle_alpha 90.00
_cell_angle_beta 90.00
_cell_angle_gamma 90.00
loop_
_atom_site_label
_atom_site_fract_x
_atom_site_fract_y
_atom_site_fract_z
_atom_site_occupancy
Be1 0.0000 0.2562 0.5000 1
Co1 0.5000 0.5000 0.5000 1
Cu1 0.0000 0.0000 0.0000 1
```



Fermi-level density of states values, unit states/eV/cell, following the record order: 32.8 4.2 24.8 0.6 128.4 5.2.